1.
Here is crystalline Rb2P2Pt at its relaxed geometry from OQMD. Energies are from GGA-PBE.

Properties
Calculated total energy ... -85.66 eV per cell
Crystal system ... orthorhombic

abc: 6.6071 14.4251 6.2465
angles: 90.00 90.00 90.00
Space group Cmcm (No. 63)
Symmetry-distinct sites (fractional):
1 Rb 0.0000 0.0781 0.2500 x4
2 Rb 0.0000 0.2879 0.7500 x4
3 P 0.1661 0.3965 0.2500 x8
4 Pt 0.0000 0.5000 0.0000 x4

2.
Here is crystalline HoPd at its relaxed geometry from OQMD. Energies are from GGA-PBE.

Properties
ΔE_f ... -0.133 eV per atom
Calculated total energy ... -40.08 eV per cell
Crystal system ... cubic

abc: 6.2742 6.2742 6.2742
angles: 90.00 90.00 90.00
Space group F-43m (No. 216)
Symmetry-distinct sites (fractional):
1 Ho 0.0000 0.0000 0.0000 x4
2 Pd 0.2500 0.2500 0.7500 x4

3.
Here is crystalline TbSnNO at its relaxed geometry from OQMD. Energies are from GGA-PBE.

Properties
Distance to the lowest polymorph of the same formula ... 0.00 eV/f.u.
Calculated total energy ... -114.08 eV per cell
Crystal system ... orthorhombic

abc: 5.7363 8.2282 5.6044
angles: 90.00 90.00 90.00
Space group Pca2_1 (No. 29)
Symmetry-distinct sites (fractional):
1 Tb 0.0140 0.1253 0.0000 x4
2 Sn 0.0284 0.6251 0.9856 x4
3 N 0.1041 0.6070 0.5961 x4
4 O 0.2474 0.9867 0.2486 x4

4.
Here is crystalline NaZn2 at its relaxed geometry from OQMD. Energies are from GGA-PBE.

Properties
Calculated total energy ... -14.27 eV per cell
Crystal system ... orthorhombic

abc: 2.7529 15.8113 4.8840
angles: 90.00 90.00 90.00
Space group Cmcm (No. 63)
Symmetry-distinct sites (fractional):
1 Na 0.0000 0.1148 0.2500 x4
2 Zn 0.0000 0.2125 0.7500 x4
3 Zn 0.0000 0.4479 0.2500 x4